[1]
ThSeO5: relaxed, PBE.

## Properties
E_form (uncorrected): -1.956 eV/atom
Size of the total moment: 0.00 μB per formula unit

Lattice parameters (Å, degrees): 8.6317 8.7249 8.4179 90.00 119.14 90.00
Space group C2/c (No. 15)
Inequivalent atoms, fractional coordinates:
Th  0.0000  0.0000  0.0000 x4
Se  0.0000  0.3740  0.2500 x4
O  0.0000  0.0550  0.7500 x4
O  0.0040  0.2651  0.0880 x8
O  0.1792  0.4848  0.3439 x8



[2]
ThSe4O10: relaxed, PBE.

## Properties
E_form (uncorrected): -1.390 eV/atom
Size of the total moment: 0.00 μB per formula unit

Lattice parameters (Å, degrees): 12.1463 13.3245 12.5706 90.00 90.00 90.00
Space group Pbca (No. 61)
Inequivalent atoms, fractional coordinates:
Th  0.2442  0.2319  0.2127 x8
Se  0.0118  0.5408  0.2421 x8
Se  0.0431  0.6512  0.9032 x8
Se  0.1180  0.1304  0.9572 x8
Se  0.2418  0.5816  0.4915 x8
O  0.0443  0.5129  0.8840 x8
O  0.0901  0.1240  0.2319 x8
O  0.0932  0.1799  0.6049 x8
O  0.0937  0.6889  0.7845 x8
O  0.1134  0.6100  0.1859 x8
O  0.1143  0.5069  0.4575 x8
O  0.1656  0.1497  0.8310 x8
O  0.1803  0.6472  0.5910 x8
O  0.2289  0.1494  0.0363 x8
O  0.2338  0.6589  0.3856 x8



[3]
ThSe3O9: relaxed, PBE.

## Properties
E_form (uncorrected): -1.427 eV/atom
Size of the total moment: 0.00 μB per formula unit

Lattice parameters (Å, degrees): 16.7130 6.4044 11.2172 90.00 124.02 90.00
Space group Cc (No. 9)
Inequivalent atoms, fractional coordinates:
Th  0.0000  0.1614  0.0000 x4
Se  0.1658  0.0908  0.8487 x4
Se  0.2349  0.4926  0.2590 x4
Se  0.4108  0.1532  0.7455 x4
O  0.0754  0.1073  0.6688 x4
O  0.1050  0.1151  0.9273 x4
O  0.1407  0.3247  0.1874 x4
O  0.2155  0.3593  0.8844 x4
O  0.2956  0.1019  0.6401 x4
O  0.3269  0.3434  0.3869 x4
O  0.4300  0.3739  0.8395 x4
O  0.4671  0.1799  0.6613 x4
O  0.4691  0.0376  0.3689 x4



[4]
Th2Se2O: relaxed, PBE.

## Properties
Energy relative to the lowest polymorph listed for this composition: 1274 meV/atom
E_form (uncorrected): -0.724 eV/atom
Size of the total moment: 0.00 μB per formula unit

Lattice parameters (Å, degrees): 3.7867 3.7867 11.9193 90.00 90.00 90.00
Space group P4/mmm (No. 123)
Inequivalent atoms, fractional coordinates:
Th  0.0000  0.0000  0.1776 x2
Se  0.0000  0.0000  0.4036 x2
O  0.0000  0.0000  0.0000 x1



[5]
Th2Se2O: relaxed, PBE.

## Properties
Energy relative to the lowest polymorph listed for this composition: 0 meV/atom
E_form (uncorrected): -1.997 eV/atom
Size of the total moment: 0.00 μB per formula unit

Lattice parameters (Å, degrees): 3.6956 5.8527 11.5771 90.00 90.00 90.00
Space group Immm (No. 71)
Inequivalent atoms, fractional coordinates:
Th  0.0000  0.0000  0.1474 x4
Se  0.0000  0.5000  0.1522 x4
O  0.0000  0.5000  0.5000 x2



[6]
TmThSe2O: relaxed, PBE.

## Properties
E_form (uncorrected): -2.422 eV/atom
Size of the total moment: 0.00 μB per formula unit

Lattice parameters (Å, degrees): 3.9610 3.9610 13.7500 90.00 90.00 90.00
Space group P4/nmm (No. 129, origin choice 2)
Inequivalent atoms, fractional coordinates:
Tm  0.2500  0.2500  0.0911 x2
Th  0.2500  0.2500  0.6001 x2
Se  0.2500  0.2500  0.3039 x2
Se  0.2500  0.2500  0.8820 x2
O  0.2500  0.7500  0.5000 x2



[7]
Ti4SeO: relaxed, PBE.

## Properties
E_form (uncorrected): -0.995 eV/atom
Size of the total moment: 0.65 μB per formula unit

Lattice parameters (Å, degrees): 11.3050 4.3023 8.9576 90.00 114.98 90.00
Space group C2/m (No. 12)
Inequivalent atoms, fractional coordinates:
Ti  0.0674  0.0000  0.4131 x4
Ti  0.1339  0.5000  0.6445 x4
Ti  0.1588  0.0000  0.9163 x4
Ti  0.1847  0.5000  0.3429 x4
Se  0.1115  0.0000  0.1664 x4
O  0.1315  0.0000  0.6720 x4



[8]
TiSe3O: relaxed, PBE.

## Properties
Energy relative to the lowest polymorph listed for this composition: 147 meV/atom
E_form (uncorrected): 0.318 eV/atom
Size of the total moment: 0.00 μB per formula unit

Lattice parameters (Å, degrees): 4.8502 4.8502 4.8502 90.00 90.00 90.00
Space group Pm-3m (No. 221)
Inequivalent atoms, fractional coordinates:
Ti  0.0000  0.0000  0.0000 x1
Se  0.0000  0.0000  0.5000 x3
O  0.5000  0.5000  0.5000 x1